(1)
Material: TlIn2PbBr
Method: DFT, PBE-GGA
State: optimized geometry

**Formation energy from raw total energies**: 1.6 eV per formula unit
**SG**: P4/mmm, No. 123
**Volume**: 61.890 Å³/atom
**Total moment**: 0.00 μB/f.u.

abc: 6.166 6.166 8.138
angles: 90.00 90.00 90.00
Atoms (fractional coordinates):
Tl1 0.000 0.000 0.000
In1 0.000 0.500 0.500
In2 0.500 0.000 0.500
Pb1 0.500 0.500 0.500
Br1 0.500 0.500 0.000

(2)
Material: TlInPb2Br6
Method: DFT, PBE-GGA
State: optimized geometry

**Formation energy from raw total energies**: -8.5 eV per formula unit
**SG**: P1, No. 1
**Volume**: 39.741 Å³/atom
**Total moment**: 0.00 μB/f.u.

abc: 8.129 8.134 8.377
angles: 60.98 60.98 60.02
Atoms (fractional coordinates):
Tl1 0.000 0.000 0.000
In1 0.498 0.497 0.507
Pb1 0.291 0.291 0.128
Pb2 0.792 0.792 0.624
Br1 0.072 0.646 0.847
Br2 0.147 0.569 0.350
Br3 0.435 0.072 0.847
Br4 0.568 0.934 0.350
Br5 0.646 0.435 0.848
Br6 0.934 0.148 0.350

(3)
Material: TmInPb2Br8
Method: DFT, PBE-GGA
State: optimized geometry

**Formation energy from raw total energies**: -14.0 eV per formula unit
**SG**: P2/m, No. 10
**Volume**: 37.837 Å³/atom
**Total moment**: 0.00 μB/f.u.

abc: 6.838 9.198 7.219
angles: 90.00 90.98 90.00
Atoms (fractional coordinates):
Tm1 0.000 0.000 0.000
In1 0.000 0.500 0.000
Pb1 0.500 0.250 0.500
Pb2 0.500 0.750 0.500
Br1 0.234 0.216 0.154
Br2 0.234 0.784 0.154
Br3 0.236 0.000 0.685
Br4 0.270 0.500 0.639
Br5 0.730 0.500 0.361
Br6 0.764 0.000 0.315
Br7 0.766 0.216 0.846
Br8 0.766 0.784 0.846

- Which of these has the lowest volume?
  TmInPb2Br8

- What is the formation energy from raw total energies in the second record?
  -8.5 eV per formula unit

- What is the volume in the second record?
  39.741 Å³/atom